No. 1
{
  "formula": "HfReI2O",
  "functional": "GGA-PBE",
  "state": "optimized geometry",
  "lattice_angstrom": [[5.881, 0.000, 0.000], [0.000, 5.881, 0.000], [0.000, 0.000, 3.955]],
  "species": ["Hf", "Re", "I", "I", "O"],
  "frac_coords": [[0.000, 0.000, 0.000], [0.500, 0.500, 0.500], [0.000, 0.500, 0.000], [0.500, 0.000, 0.000], [0.000, 0.000, 0.500]],
  "space_group": "No. 123",
  "volume_a3_per_cell": 136.8,
  "dft_energy_ev_per_atom": -5.95,
  "rho_g_cm3": 7.7
}

***

No. 2
{
  "formula": "SbAsBr2",
  "functional": "GGA-PBE",
  "state": "optimized geometry",
  "lattice_angstrom": [[1.732, 1.000, 10.197], [-1.732, 1.000, 10.197], [0.000, -1.999, 10.197]],
  "species": ["Sb", "As", "Br", "Br"],
  "frac_coords": [[0.000, 0.000, 0.000], [0.500, 0.500, 0.500], [0.415, 0.415, 0.415], [0.585, 0.585, 0.585]],
  "space_group": "No. 166",
  "volume_a3_per_cell": 105.9,
  "dft_energy_ev_per_atom": -2.88,
  "rho_g_cm3": 5.6
}

***

No. 3
{
  "formula": "Pm3Nd6Y2",
  "functional": "GGA-PBE",
  "state": "optimized geometry",
  "lattice_angstrom": [[-2.409, 2.409, 17.138], [2.409, -2.409, 17.138], [2.409, 2.409, -17.138]],
  "species": ["Pm", "Pm", "Pm", "Nd", "Nd", "Nd", "Nd", "Nd", "Nd", "Y", "Y"],
  "frac_coords": [[0.000, 0.000, 0.000], [0.197, 0.197, 0.000], [0.803, 0.803, 0.000], [0.121, 0.621, 0.500], [0.297, 0.297, 0.000], [0.379, 0.879, 0.500], [0.621, 0.121, 0.500], [0.703, 0.703, 0.000], [0.879, 0.379, 0.500], [0.455, 0.455, 0.000], [0.545, 0.545, 0.000]],
  "space_group": "No. 139",
  "volume_a3_per_cell": 397.8,
  "formation_enthalpy_0k_ev_per_atom": 0.27,
  "dft_energy_ev_per_atom": -4.80,
  "rho_g_cm3": 6.2
}